A geometry-optimized Mn3TcF structure. Source: Alexandria, functional PBE+U.

a b c (Å): 5.0006 5.0006 5.0006
angles (deg): 90.00 90.00 90.00
Closest atoms and distances in Å follow each position.
Sites, in units of the cell vectors:
Mn  0.0000  0.5000  0.0000  2 Tc 2.50
Mn  0.0000  0.0000  0.5000  2 Tc 2.50
Mn  0.5000  0.0000  0.0000  2 Tc 2.50
Tc  0.0000  0.0000  0.0000  6 Mn 2.50
F  0.5000  0.5000  0.5000  12 Mn 3.54

Computed properties:
* ΔE to the lowest computed polymorph: 698 meV per atom
* M_tot: 12.95 μB per cell
* crystal system: cubic